Below is a geometry-optimized CoTePbO structure, with properties calculated at the PBE with a Hubbard U level.

The structure belongs to space group Cmc2_1 (No. 36); the cell edges are 4.146, 13.980 and 6.344 Å and the angles 90.00°, 90.00° and 90.00°. The asymmetric unit holds Co at (0.000, 0.041, 0.000), Te at (0.000, 0.356, 0.353), Pb at (0.000, 0.339, 0.855) and O at (0.000, 0.066, 0.309).

The spin magnetization comes out at 12.00 μB/cell. The uncorrected energy is -76.56 eV per cell.